{
  "formula": "Mg2ScPt",
  "functional": "GGA-PBE",
  "state": "optimized geometry",
  "spacegroup": "F-43m (216)",
  "lattice_angstrom": [[0.000, 3.310, 3.310], [3.310, 0.000, 3.310], [3.310, 3.310, 0.000]],
  "species": ["Mg", "Mg", "Sc", "Pt"],
  "frac_coords": [[0.000, 0.000, 0.000], [0.250, 0.250, 0.250], [0.500, 0.500, 0.500], [0.750, 0.750, 0.750]]
}

{
  "formula": "MgSc4Pt5",
  "functional": "GGA-PBE",
  "state": "optimized geometry",
  "spacegroup": "P4/mmm (123)",
  "lattice_angstrom": [[3.277, 0.000, 0.000], [0.000, 3.277, 0.000], [0.000, 0.000, 16.229]],
  "species": ["Mg", "Sc", "Sc", "Sc", "Sc", "Pt", "Pt", "Pt", "Pt", "Pt"],
  "frac_coords": [[0.000, 0.000, 0.000], [0.000, 0.000, 0.193], [0.000, 0.000, 0.397], [0.000, 0.000, 0.603], [0.000, 0.000, 0.807], [0.500, 0.500, 0.097], [0.500, 0.500, 0.296], [0.500, 0.500, 0.500], [0.500, 0.500, 0.704], [0.500, 0.500, 0.903]]
}

{
  "formula": "MgScSi2Pt4",
  "functional": "GGA-PBE",
  "state": "optimized geometry",
  "spacegroup": "Amm2 (38)",
  "lattice_angstrom": [[7.056, 0.000, 0.000], [0.000, 1.782, 5.086], [0.000, -1.782, 5.086]],
  "species": ["Mg", "Sc", "Si", "Si", "Pt", "Pt", "Pt", "Pt"],
  "frac_coords": [[0.000, 0.000, 0.000], [0.500, 0.080, 0.080], [0.000, 0.274, 0.274], [0.500, 0.800, 0.800], [0.203, 0.672, 0.672], [0.296, 0.399, 0.399], [0.704, 0.399, 0.399], [0.797, 0.672, 0.672]]
}

{
  "formula": "SrMgScPt2",
  "functional": "GGA-PBE",
  "state": "optimized geometry",
  "spacegroup": "I-4m2 (119)",
  "lattice_angstrom": [[-2.168, 2.168, 5.944], [2.168, -2.168, 5.944], [2.168, 2.168, -5.944]],
  "species": ["Sr", "Mg", "Sc", "Pt", "Pt"],
  "frac_coords": [[0.000, 0.000, 0.000], [0.250, 0.750, 0.500], [0.750, 0.250, 0.500], [0.386, 0.386, 0.000], [0.614, 0.614, 0.000]]
}

Uncorrected energy? In order: -17.91, -68.86, -50.60, -26.28 eV per cell.